Record 1
# GGA-PBE CrGaW2S, optimized geometry
data_CrGaW2S
_cell_length_a 4.648
_cell_length_b 4.648
_cell_length_c 4.356
_cell_angle_alpha 90.00
_cell_angle_beta 90.00
_cell_angle_gamma 90.00
_symmetry_space_group_name_H-M 'P 4/m m m'
_symmetry_Int_Tables_number 123
_symmetry_space_group_name_Hall '-P 4 2'
loop_
_atom_site_label
_atom_site_type_symbol
_atom_site_fract_x
_atom_site_fract_y
_atom_site_fract_z
_atom_site_occupancy
Cr1 Cr 0.000 0.000 0.000 1
Ga1 Ga 0.000 0.000 0.500 1
W1 W 0.000 0.500 0.500 1
S1 S 0.500 0.500 0.000 1
# D(E_F) (states/eV/cell): 7.429
# E_form (uncorrected) (kcal/mol of atoms): 48.84
# Calculated volume (Å³ per cell): 94.14

=====

Record 2
# GGA-PBE Cr2GaSb2, optimized geometry
data_Cr2GaSb2
_cell_length_a 7.050
_cell_length_b 7.050
_cell_length_c 3.846
_cell_angle_alpha 90.00
_cell_angle_beta 90.00
_cell_angle_gamma 90.00
_symmetry_space_group_name_H-M 'P 4/m b m'
_symmetry_Int_Tables_number 127
_symmetry_space_group_name_Hall '-P 4 2ab'
loop_
_atom_site_label
_atom_site_type_symbol
_atom_site_fract_x
_atom_site_fract_y
_atom_site_fract_z
_atom_site_occupancy
Cr1 Cr 0.147 0.353 0.000 1
Ga1 Ga 0.000 0.000 0.000 1
Sb1 Sb 0.159 0.659 0.500 1
# D(E_F) (states/eV/cell): 8.030
# E_form (uncorrected) (kcal/mol of atoms): 6.15
# Calculated volume (Å³ per cell): 191.14

=====

Record 3
# GGA-PBE CrGaSb2, optimized geometry
data_CrGaSb2
_cell_length_a 6.226
_cell_length_b 6.226
_cell_length_c 12.213
_cell_angle_alpha 90.00
_cell_angle_beta 90.00
_cell_angle_gamma 90.00
_symmetry_space_group_name_H-M 'I -4 2 d'
_symmetry_Int_Tables_number 122
_symmetry_space_group_name_Hall 'I -4 2bw'
loop_
_atom_site_label
_atom_site_type_symbol
_atom_site_fract_x
_atom_site_fract_y
_atom_site_fract_z
_atom_site_occupancy
Cr1 Cr 0.000 0.000 0.000 1
Ga1 Ga 0.000 0.000 0.500 1
Sb1 Sb 0.243 0.250 0.125 1
# D(E_F) (states/eV/cell): 6.594
# E_form (uncorrected) (kcal/mol of atoms): 5.93
# Calculated volume (Å³ per cell): 473.43

=====

Record 4
# GGA-PBE CrGaSb2, optimized geometry
data_CrGaSb2
_cell_length_a 3.2304
_cell_length_b 3.2304
_cell_length_c 32.9738
_cell_angle_alpha 90.00
_cell_angle_beta 90.00
_cell_angle_gamma 120.00
_symmetry_space_group_name_H-M 'R -3 m'
_symmetry_Int_Tables_number 166
_symmetry_space_group_name_Hall '-R 3 2"'
loop_
_atom_site_label
_atom_site_type_symbol
_atom_site_fract_x
_atom_site_fract_y
_atom_site_fract_z
_atom_site_occupancy
Cr1 Cr 0.0000 0.0000 0.0000 1
Ga1 Ga 0.0000 0.0000 0.5000 1
Sb1 Sb 0.0000 0.0000 0.0829 1
# D(E_F) (states/eV/cell): 5.635
# E_form (uncorrected) (kcal/mol of atoms): 12.13
# Calculated volume (Å³ per cell): 298.01

=====

Record 5
# GGA-PBE Cr3GaSb, optimized geometry
data_Cr3GaSb
_cell_length_a 5.152
_cell_length_b 5.152
_cell_length_c 5.152
_cell_angle_alpha 90.00
_cell_angle_beta 90.00
_cell_angle_gamma 90.00
_symmetry_space_group_name_H-M 'P m -3 m'
_symmetry_Int_Tables_number 221
_symmetry_space_group_name_Hall '-P 4 2 3'
loop_
_atom_site_label
_atom_site_type_symbol
_atom_site_fract_x
_atom_site_fract_y
_atom_site_fract_z
_atom_site_occupancy
Cr1 Cr 0.000 0.000 0.500 1
Ga1 Ga 0.500 0.500 0.500 1
Sb1 Sb 0.000 0.000 0.000 1
# Polymorph energy (0 for the lowest one) (eV per formula unit): 1.599
# D(E_F) (states/eV/cell): 3.976
# E_form (uncorrected) (kcal/mol of atoms): 27.44
# Calculated volume (Å³ per cell): 136.75

=====

Record 6
# GGA-PBE CrGa2Sb, optimized geometry
data_CrGa2Sb
_cell_length_a 7.766
_cell_length_b 7.766
_cell_length_c 5.192
_cell_angle_alpha 90.00
_cell_angle_beta 90.00
_cell_angle_gamma 90.00
_symmetry_space_group_name_H-M 'I -4 2 d'
_symmetry_Int_Tables_number 122
_symmetry_space_group_name_Hall 'I -4 2bw'
loop_
_atom_site_label
_atom_site_type_symbol
_atom_site_fract_x
_atom_site_fract_y
_atom_site_fract_z
_atom_site_occupancy
Cr1 Cr 0.000 0.000 0.000 1
Ga1 Ga 0.197 0.750 0.125 1
Sb1 Sb 0.000 0.000 0.500 1
# D(E_F) (states/eV/cell): 28.151
# E_form (uncorrected) (kcal/mol of atoms): 12.45
# Calculated volume (Å³ per cell): 313.13

=====

Record 7
# GGA-PBE CrGa3Sb, optimized geometry
data_CrGa3Sb
_cell_length_a 4.761
_cell_length_b 4.761
_cell_length_c 4.761
_cell_angle_alpha 90.00
_cell_angle_beta 90.00
_cell_angle_gamma 90.00
_symmetry_space_group_name_H-M 'P m -3 m'
_symmetry_Int_Tables_number 221
_symmetry_space_group_name_Hall '-P 4 2 3'
loop_
_atom_site_label
_atom_site_type_symbol
_atom_site_fract_x
_atom_site_fract_y
_atom_site_fract_z
_atom_site_occupancy
Cr1 Cr 0.000 0.000 0.000 1
Ga1 Ga 0.000 0.000 0.500 1
Sb1 Sb 0.500 0.500 0.500 1
# Polymorph energy (0 for the lowest one) (eV per formula unit): 0.000
# D(E_F) (states/eV/cell): 7.639
# E_form (uncorrected) (kcal/mol of atoms): 11.47
# Calculated volume (Å³ per cell): 107.92

=====

Record 8
# GGA-PBE CrGaSb3, optimized geometry
data_CrGaSb3
_cell_length_a 5.212
_cell_length_b 5.212
_cell_length_c 5.212
_cell_angle_alpha 90.00
_cell_angle_beta 90.00
_cell_angle_gamma 90.00
_symmetry_space_group_name_H-M 'P m -3 m'
_symmetry_Int_Tables_number 221
_symmetry_space_group_name_Hall '-P 4 2 3'
loop_
_atom_site_label
_atom_site_type_symbol
_atom_site_fract_x
_atom_site_fract_y
_atom_site_fract_z
_atom_site_occupancy
Cr1 Cr 0.000 0.000 0.000 1
Ga1 Ga 0.500 0.500 0.500 1
Sb1 Sb 0.000 0.500 0.500 1
# Polymorph energy (0 for the lowest one) (eV per formula unit): 4.606
# D(E_F) (states/eV/cell): 6.221
# E_form (uncorrected) (kcal/mol of atoms): 31.01
# Calculated volume (Å³ per cell): 141.61

=====

Record 9
# GGA-PBE CrGaSb3, optimized geometry
data_CrGaSb3
_cell_length_a 5.084
_cell_length_b 5.084
_cell_length_c 5.084
_cell_angle_alpha 90.00
_cell_angle_beta 90.00
_cell_angle_gamma 90.00
_symmetry_space_group_name_H-M 'P m -3 m'
_symmetry_Int_Tables_number 221
_symmetry_space_group_name_Hall '-P 4 2 3'
loop_
_atom_site_label
_atom_site_type_symbol
_atom_site_fract_x
_atom_site_fract_y
_atom_site_fract_z
_atom_site_occupancy
Cr1 Cr 0.000 0.000 0.000 1
Ga1 Ga 0.500 0.500 0.500 1
Sb1 Sb 0.000 0.000 0.500 1
# Polymorph energy (0 for the lowest one) (eV per formula unit): 0.000
# D(E_F) (states/eV/cell): 4.708
# E_form (uncorrected) (kcal/mol of atoms): 9.77
# Calculated volume (Å³ per cell): 131.37

=====

Record 10
# GGA-PBE Cr3GaSb, optimized geometry
data_Cr3GaSb
_cell_length_a 4.692
_cell_length_b 4.692
_cell_length_c 4.692
_cell_angle_alpha 90.00
_cell_angle_beta 90.00
_cell_angle_gamma 90.00
_symmetry_space_group_name_H-M 'P m -3 m'
_symmetry_Int_Tables_number 221
_symmetry_space_group_name_Hall '-P 4 2 3'
loop_
_atom_site_label
_atom_site_type_symbol
_atom_site_fract_x
_atom_site_fract_y
_atom_site_fract_z
_atom_site_occupancy
Cr1 Cr 0.000 0.000 0.500 1
Ga1 Ga 0.000 0.000 0.000 1
Sb1 Sb 0.500 0.500 0.500 1
# Polymorph energy (0 for the lowest one) (eV per formula unit): 0.000
# D(E_F) (states/eV/cell): 5.888
# E_form (uncorrected) (kcal/mol of atoms): 20.07
# Calculated volume (Å³ per cell): 103.28

=====

Record 11
# GGA-PBE Cr2Ga2Sb, optimized geometry
data_Cr2Ga2Sb
_cell_length_a 6.481
_cell_length_b 6.481
_cell_length_c 3.903
_cell_angle_alpha 90.00
_cell_angle_beta 90.00
_cell_angle_gamma 90.00
_symmetry_space_group_name_H-M 'P 4/m b m'
_symmetry_Int_Tables_number 127
_symmetry_space_group_name_Hall '-P 4 2ab'
loop_
_atom_site_label
_atom_site_type_symbol
_atom_site_fract_x
_atom_site_fract_y
_atom_site_fract_z
_atom_site_occupancy
Cr1 Cr 0.120 0.380 0.000 1
Ga1 Ga 0.157 0.657 0.500 1
Sb1 Sb 0.000 0.000 0.000 1
# D(E_F) (states/eV/cell): 9.943
# E_form (uncorrected) (kcal/mol of atoms): 6.17
# Calculated volume (Å³ per cell): 163.94

=====

Record 12
# GGA-PBE CrGa2SbSe, optimized geometry
data_CrGa2SbSe
_cell_length_a 5.324
_cell_length_b 5.324
_cell_length_c 5.476
_cell_angle_alpha 90.00
_cell_angle_beta 90.00
_cell_angle_gamma 90.00
_symmetry_space_group_name_H-M 'P 4/m m m'
_symmetry_Int_Tables_number 123
_symmetry_space_group_name_Hall '-P 4 2'
loop_
_atom_site_label
_atom_site_type_symbol
_atom_site_fract_x
_atom_site_fract_y
_atom_site_fract_z
_atom_site_occupancy
Cr1 Cr 0.000 0.000 0.000 1
Ga1 Ga 0.000 0.500 0.500 1
Sb1 Sb 0.500 0.500 0.500 1
Se1 Se 0.500 0.500 0.000 1
# D(E_F) (states/eV/cell): 2.346
# E_form (uncorrected) (kcal/mol of atoms): 18.62
# Calculated volume (Å³ per cell): 155.25